Entry 1:
First-principles (PBE) data for a relaxed structure of LiTiTlCd, as listed in the Alexandria database.

The structure belongs to space group F-43m (No. 216); the cell edges are 6.7734, 6.7734 and 6.7734 Å and the angles 90.00°, 90.00° and 90.00°. Symmetry generates all atoms from Li at (0.0000, 0.0000, 0.0000), Ti at (0.0000, 0.0000, 0.5000), Tl at (0.2500, 0.2500, 0.2500) and Cd at (0.2500, 0.2500, 0.7500).

Its density of states at the Fermi level is 2.53 states/eV/f.u. As for the formation energy: 1.0 kJ per mole of atoms. Its total energy is -13.05 eV per formula unit. The volume is 77.69 Å³/f.u. The value obtained for the size of the total moment is 0.00 Bohr magnetons per cell.


Entry 2:
First-principles (PBE) data for a relaxed structure of Mn2CrCl, as listed in the Alexandria database.

The structure belongs to space group Imm2 (No. 44); the cell edges are 2.9333, 3.0875 and 13.5593 Å and the angles 90.00°, 90.00° and 90.00°. Symmetry generates all atoms from Mn at (0.0000, 0.0000, 0.0000), Mn at (0.0000, 0.5000, 0.1484), Cr at (0.0000, 0.5000, 0.7224) and Cl at (0.0000, 0.0000, 0.3767).

Its density of states at the Fermi level is 4.31 states/eV/f.u. For the uncorrected formation energy, the calculation gives 0.3607 eV/atom. Its total energy is -28.37 eV per formula unit. The volume is 61.40 Å³/f.u. The value obtained for the size of the total moment is 8.12 Bohr magnetons per cell.


Entry 3:
First-principles (PBE) data for a relaxed structure of LiPbAuS2, as listed in the Alexandria database.

The structure belongs to space group P2/c (No. 13); the cell edges are 6.8804, 4.6808 and 7.2773 Å and the angles 90.00°, 102.43° and 90.00°. Symmetry generates all atoms from Li at (0.0000, 0.0103, 0.2500), Pb at (0.5000, 0.3520, 0.7500), Au at (0.0000, 0.5000, 0.0000) and S at (0.2665, 0.1861, 0.0375).

For the uncorrected formation energy, the calculation gives -0.6020 eV/atom. Its total energy is -20.16 eV per formula unit. The volume is 114.44 Å³/f.u. The value obtained for the size of the total moment is 0.00 Bohr magnetons per cell.


Entry 4:
First-principles (PBE) data for a relaxed structure of TmTcSn6, as listed in the Alexandria database.

The structure belongs to space group R-3m (No. 166, hexagonal axes); the cell edges are 9.3884, 9.3884 and 8.2650 Å and the angles 90.00°, 90.00° and 120.00°. Symmetry generates all atoms from Tm at (0.0000, 0.0000, 0.0000), Tc at (0.0000, 0.0000, 0.5000) and Sn at (0.0513, 0.5256, 0.3274).

Its density of states at the Fermi level is 3.19 states/eV/f.u. As for the formation energy: -8.1 kJ per mole of atoms. Its total energy is -39.53 eV per formula unit. The volume is 210.29 Å³/f.u. The value obtained for the size of the total moment is 0.00 Bohr magnetons per cell.


Entry 5:
First-principles (PBE) data for a relaxed structure of U2Se3Cl, as listed in the Alexandria database.

The structure belongs to space group R-3c (No. 167, hexagonal axes); the cell edges are 7.8187, 7.8187 and 18.2449 Å and the angles 90.00°, 90.00° and 120.00°. Symmetry generates all atoms from U at (0.0000, 0.0000, 0.1446), Se at (0.0000, 0.2775, 0.2500) and Cl at (0.0000, 0.0000, 0.0000).

Its density of states at the Fermi level is 15.43 states/eV/f.u. For the uncorrected formation energy, the calculation gives -1.0988 eV/atom. Its total energy is -41.47 eV per formula unit. The volume is 160.98 Å³/f.u. The value obtained for the size of the total moment is 30.00 Bohr magnetons per cell.


Entry 6:
First-principles (PBE) data for a relaxed structure of AlNi6Au, as listed in the Alexandria database.

The structure belongs to space group Cmmm (No. 65); the cell edges are 7.2412, 10.3007 and 10.3139 Å and the angles 90.00°, 90.00° and 90.00°. Symmetry generates all atoms from Al at (0.0000, 0.0000, 0.2459), Al at (0.0000, 0.2509, 0.0000), Ni at (0.0000, 0.0000, 0.0000), Ni at (0.0000, 0.0000, 0.5000), Ni at (0.0000, 0.2455, 0.2425), Ni at (0.0000, 0.5000, 0.0000), Ni at (0.0000, 0.5000, 0.5000), Ni at (0.2428, 0.1229, 0.3699), Ni at (0.2453, 0.1267, 0.1206), Au at (0.0000, 0.2524, 0.5000) and Au at (0.0000, 0.5000, 0.2484).

Its density of states at the Fermi level is 9.63 states/eV/f.u. As for the formation energy: -14.7 kJ per mole of atoms. Its total energy is -42.92 eV per formula unit. The volume is 96.16 Å³/f.u. The value obtained for the size of the total moment is 14.10 Bohr magnetons per cell.


Entry 7:
First-principles (PBE) data for a relaxed structure of TaGaGe2F, as listed in the Alexandria database.

The structure belongs to space group P4/mmm (No. 123); the cell edges are 4.7175, 4.7175 and 4.9929 Å and the angles 90.00°, 90.00° and 90.00°. Symmetry generates all atoms from Ta at (0.0000, 0.0000, 0.0000), Ga at (0.0000, 0.0000, 0.5000), Ge at (0.0000, 0.5000, 0.5000) and F at (0.5000, 0.5000, 0.0000).

Its density of states at the Fermi level is 5.49 states/eV/f.u. For the uncorrected formation energy, the calculation gives 0.8986 eV/atom. Its total energy is -21.49 eV per formula unit. The volume is 111.11 Å³/f.u. The value obtained for the size of the total moment is 0.00 Bohr magnetons per cell.


What is the size of the total moment in the third record? 0.00 Bohr magnetons per cell